## i
# CaSiBr2

A relaxed structure of CaSiBr2 (PBE-GGA, Alexandria via LeMat-Bulk).

Cell: 5.053 5.053 9.947 Å, 75.29 75.29 90.00°
Sites, in units of the cell vectors:
Ca 0.000 0.000 0.000
Ca 0.750 0.250 0.500
Si 0.500 0.500 0.000
Si 0.250 0.750 0.500
Br 0.613 0.125 0.250
Br 0.137 0.625 0.250
Br 0.375 0.387 0.750
Br 0.875 0.863 0.750

Results
**Density of states at the Fermi level**: 2.4 states/eV per cell
**Volume**: 119 Å³/f.u.
**Space-group type**: I-42d (122)

***

## ii
# CaSiBr2

A relaxed structure of CaSiBr2 (PBE-GGA, Alexandria via LeMat-Bulk).

Cell: 7.653 7.653 7.653 Å, 149.07 144.26 47.98°
Sites, in units of the cell vectors:
Br 0.112 0.112 0.000
Br 0.388 0.388 0.000
Ca 0.750 0.250 0.500
Si 0.250 0.750 0.500

Results
**Density of states at the Fermi level**: 0.1 states/eV per cell
**Volume**: 134 Å³/f.u.
**Space-group type**: Immm (71)

***

The least stable of the structures above is i, whereas ii is the most stable.